Run i
Compound: Ag3TeI
Source: Alexandria via LeMat-Bulk
Functional: PBE-GGA
Structure: relaxed

Symmetry   P2_1/c (14)

Lattice parameters (Å, degrees): 6.5232 10.7436 9.3048 116.21 90.00 90.00
Closest atoms and distances in Å follow each position.
Element x y z (fractional)
1 Ag 0.4149 0.9844 0.8525  3 Te 2.79-2.94, 5 Ag 2.84-3.12
2 Ag 0.0851 0.9844 0.3525  3 Te 2.79-2.94, 5 Ag 2.84-3.12
3 Ag 0.9149 0.0156 0.6475  3 Te 2.79-2.94, 5 Ag 2.84-3.12
4 Ag 0.4467 0.3016 0.0234  1 Te 2.78, 2 I 2.88-2.95, 2 Ag 3.07-3.08
5 Ag 0.5851 0.0156 0.1475  3 Te 2.79-2.94, 5 Ag 2.84-3.12
6 Ag 0.1613 0.1470 0.1647  1 I 2.78, 2 Te 2.79-2.97, 3 Ag 3.01-3.08
7 Te 0.2015 0.8587 0.0310  6 Ag 2.78-2.97
8 Ag 0.9467 0.6984 0.4766  1 Te 2.78, 2 I 2.88-2.95, 2 Ag 3.07-3.08
9 Ag 0.5533 0.6984 0.9766  1 Te 2.78, 2 I 2.88-2.95, 2 Ag 3.07-3.08
10 Ag 0.6613 0.8530 0.3353  1 I 2.78, 2 Te 2.79-2.97, 3 Ag 3.01-3.08
11 Ag 0.3387 0.1470 0.6647  1 I 2.78, 2 Te 2.79-2.97, 3 Ag 3.01-3.08
12 Te 0.7985 0.1413 0.9690  6 Ag 2.78-2.97
13 I 0.7583 0.5748 0.1556  3 Ag 2.78-2.95
14 I 0.7417 0.5748 0.6556  3 Ag 2.78-2.95
15 Te 0.2985 0.8587 0.5310  6 Ag 2.78-2.97
16 I 0.2417 0.4252 0.8444  3 Ag 2.78-2.95
17 Ag 0.8387 0.8530 0.8353  1 I 2.78, 2 Te 2.79-2.97, 3 Ag 3.01-3.08
18 Ag 0.0533 0.3016 0.5234  1 Te 2.78, 2 I 2.88-2.95, 2 Ag 3.07-3.08
19 I 0.2583 0.4252 0.3444  3 Ag 2.78-2.95
20 Te 0.7015 0.1413 0.4690  6 Ag 2.78-2.97

***

Run ii
Compound: Ag3TeI
Source: Alexandria via LeMat-Bulk
Functional: PBE-GGA
Structure: relaxed

Symmetry   Pm-3m (221)

Lattice parameters (Å, degrees): 5.3915 5.3915 5.3915 90.00 90.00 90.00
Closest atoms and distances in Å follow each position.
Element x y z (fractional)
1 Te 0.0000 0.0000 0.0000  6 Ag 2.70
2 Ag 0.5000 0.0000 0.0000  2 Te 2.70
3 Ag 0.0000 0.5000 0.0000  2 Te 2.70
4 I 0.5000 0.5000 0.5000  12 Ag 3.81
5 Ag 0.0000 0.0000 0.5000  2 Te 2.70

***

Energy ordering: run i at the bottom, the next structure 17.8 kJ/mol of atoms above.